[1]
First-principles (PBEsol) data for a relaxed structure of GaBiC3, as listed in the Alexandria database.

```
5
Lattice="4.5094 0.0000 0.0000 0.0000 4.5094 0.0000 0.0000 0.0000 4.5094" Properties=species:S:1:pos:R:3 pbc="T T T"
Ga 0.0000 0.0000 0.0000
Bi 2.2547 2.2547 2.2547
C 0.0000 2.2547 2.2547
C 2.2547 0.0000 2.2547
C 2.2547 2.2547 0.0000
```

Values from the calculation:
DOS(E_F) (states/eV/atom): 1.012
Energy of formation (eV/atom): 3.299

[2]
First-principles (PBEsol) data for a relaxed structure of LaZnSe, as listed in the Alexandria database.

```
3
Lattice="3.9964 0.0000 0.0000 -1.9982 3.4610 0.0000 0.0000 0.0000 5.4125" Properties=species:S:1:pos:R:3 pbc="T T T"
La 0.0000 0.0000 0.0000
Zn 0.0000 2.3073 2.1479
Se 1.9982 1.1537 3.4299
```

Values from the calculation:
Energy relative to the lowest polymorph listed for this composition (meV/atom): 94
DOS(E_F) (states/eV/atom): 0.908
Formation energy (no corrections) (eV/atom): -0.733

[3]
First-principles (PBEsol) data for a relaxed structure of K2CoMo, as listed in the Alexandria database.

```
4
Lattice="3.6655 0.0000 0.0000 0.0000 3.6655 0.0000 0.0000 0.0000 5.7519" Properties=species:S:1:pos:R:3 pbc="T T T"
K 0.0000 1.8328 0.0000
K 1.8328 0.0000 0.0000
Co 0.0000 0.0000 2.8760
Mo 1.8328 1.8328 2.8760
```

Values from the calculation:
Energy relative to the lowest polymorph listed for this composition (meV/atom): 25
DOS(E_F) (states/eV/atom): 0.621
Energy of formation (eV/atom): 1.540

[4]
First-principles (PBEsol) data for a relaxed structure of Pr3Ir, as listed in the Alexandria database.

```
16
Lattice="7.3155 0.0000 0.0000 0.0000 9.8036 0.0000 0.0000 0.0000 6.4680" Properties=species:S:1:pos:R:3 pbc="T T T"
Pr 0.2512 2.4509 0.9183
Pr 1.2826 0.6331 4.3292
Pr 1.2826 4.2687 4.3292
Pr 2.3752 5.5349 1.0952
Pr 2.3752 9.1705 1.0952
Pr 3.4065 7.3527 4.1523
Pr 3.9090 2.4509 2.3157
Pr 4.9403 0.6331 5.3728
Pr 4.9403 4.2687 5.3728
Pr 6.0330 5.5349 2.1388
Pr 6.0330 9.1705 2.1388
Pr 7.0643 7.3527 5.5497
Ir 0.8761 7.3527 2.8155
Ir 2.7816 2.4509 6.0495
Ir 4.5339 7.3527 0.4184
Ir 6.4394 2.4509 3.6524
```

Values from the calculation:
DOS(E_F) (states/eV/atom): 1.121
Energy of formation (eV/atom): -0.386

[5]
First-principles (PBEsol) data for a relaxed structure of Sn4Rh, as listed in the Alexandria database.

```
15
Lattice="6.7531 0.0000 0.0000 -3.3765 5.8483 0.0000 0.0000 0.0000 8.5982" Properties=species:S:1:pos:R:3 pbc="T T T"
Sn -0.3166 0.5483 1.4330
Sn -2.1300 3.6893 1.4330
Sn 0.6331 0.0000 7.1651
Sn -0.0875 2.9276 7.9916
Sn -0.7974 4.4603 5.1256
Sn 1.2465 2.1590 4.2991
Sn 0.8850 4.3088 2.2595
Sn 2.5791 1.3880 0.6065
Sn 4.2600 0.0000 7.1651
Sn 3.2890 2.9208 6.3386
Sn 4.2615 1.5396 3.4726
Sn 3.0600 5.3000 4.2991
Rh -1.0437 1.8077 5.7321
Rh 2.0874 0.0000 2.8660
Rh 2.3328 4.0406 0.0000
```

Values from the calculation:
DOS(E_F) (states/eV/atom): 0.390
Energy of formation (eV/atom): -0.302

[6]
First-principles (PBEsol) data for a relaxed structure of Li3ScF6, as listed in the Alexandria database.

```
60
Lattice="8.7336 0.0000 0.0000 -4.3668 7.5635 0.0000 0.0000 0.0000 9.3909" Properties=species:S:1:pos:R:3 pbc="T T T"
Li -1.3249 2.2948 2.3477
Li -3.0419 5.2688 7.0431
Li -1.4198 2.6997 9.0631
Li -2.7387 4.9840 4.3677
Li 2.6498 0.0000 2.3477
Li 1.3249 2.2948 7.0431
Li 1.4198 2.6997 4.3677
Li -1.3189 7.4433 9.0631
Li 3.0479 0.1202 5.0232
Li 1.6281 2.5795 0.3278
Li 2.7387 4.9840 9.0631
Li 1.3189 7.4433 4.3677
Li 5.6857 0.1202 0.3278
Li 2.9470 4.8638 5.0232
Li 6.0838 0.0000 7.0431
Li 3.0419 5.2688 2.3477
Li 7.1055 2.5795 5.0232
Li 5.7866 4.8638 0.3278
Sc 0.0000 0.0000 0.0000
Sc 0.0000 0.0000 4.6954
Sc 0.0000 5.0423 2.2531
Sc 0.0000 5.0423 6.9486
Sc 4.3668 2.5212 2.4423
Sc 4.3668 2.5212 7.1377
F -0.0424 1.7287 1.0240
F -2.8909 6.6624 5.7194
F -1.3950 4.0839 1.1312
F -1.5275 4.3135 5.8267
F 0.0424 1.7287 5.7194
F -2.8485 6.7359 1.0240
F -0.0772 3.3699 3.3870
F -1.4869 5.8117 8.0824
F 1.5183 0.8276 3.6714
F 1.4759 0.9011 8.3669
F 0.0772 3.3699 8.0824
F -1.4097 5.9454 3.3870
F 1.3949 4.0839 5.8267
F -0.1326 6.7296 1.1312
F 2.9571 1.6181 1.3084
F 2.8799 1.7518 6.0039
F 1.5275 4.3135 1.1312
F 0.1326 6.7296 5.8267
F 4.2342 0.8339 3.5642
F 2.8393 3.2500 8.2596
F 1.4869 5.8117 3.3870
F 1.4097 5.9454 8.0824
F 4.4994 0.8339 8.2596
F 2.9719 3.4796 3.5642
F 5.7765 1.6181 6.0039
F 4.2896 4.1936 1.3084
F 2.8909 6.6624 1.0240
F 2.8485 6.7359 5.7194
F 5.8537 1.7518 1.3084
F 4.4440 4.1936 6.0039
F 7.2153 0.8276 8.3669
F 4.3244 5.8348 3.6714
F 5.8943 3.2500 3.5642
F 5.7617 3.4796 8.2596
F 7.2577 0.9011 3.6714
F 4.4092 5.8348 8.3669
```

Values from the calculation:
DOS(E_F) (states/eV/atom): 0.000
Formation energy (no corrections) (eV/atom): -3.373